Run a
The following is a DFT calculation (GGA-PBE) of an optimized crystal structure of Re2IrO2.

Unit cell a=6.778 b=6.778 c=2.722 alpha=90.00 beta=90.00 gamma=90.00
Sites, in units of the cell vectors:
Re 0.363 0.863 0.000
Re 0.863 0.637 0.000
Re 0.637 0.137 0.000
Re 0.137 0.363 0.000
Ir 0.000 0.000 0.000
Ir 0.500 0.500 0.000
O 0.120 0.620 0.500
O 0.620 0.880 0.500
O 0.880 0.380 0.500
O 0.380 0.120 0.500

## Properties
The space group is P4/mbm, No. 127.



Run b
The following is a DFT calculation (GGA-PBE) of an optimized crystal structure of Re2IrO2.

Unit cell a=3.357 b=3.357 c=5.787 alpha=73.14 beta=73.14 gamma=90.00
Sites, in units of the cell vectors:
Re 0.376 0.376 0.249
Re 0.624 0.624 0.751
Ir 0.000 0.000 0.000
O 0.750 0.250 0.500
O 0.250 0.750 0.500

## Properties
The space group is I4/mmm, No. 139.



The calculated energies rank the structures as follows, beginning with the most stable: run b, run a.



Run a
The following is a DFT calculation (GGA-PBE) of an optimized crystal structure of Ir3RhO.

Unit cell a=4.117 b=4.117 c=4.117 alpha=90.00 beta=90.00 gamma=90.00
Each line ends with the local moment (μB).
Sites, in units of the cell vectors:
Ir 0.000 0.500 0.000  0.29
Ir 0.000 0.000 0.500  0.26
Ir 0.500 0.000 0.000  0.32
Rh 0.500 0.500 0.500  0.32
O 0.000 0.000 0.000  0.04

## Properties
The space group is Pm-3m, No. 221.



Run b
The following is a DFT calculation (GGA-PBE) of an optimized crystal structure of Ir3RhO.

Unit cell a=4.708 b=4.708 c=4.708 alpha=90.00 beta=90.00 gamma=90.00
Each line ends with the local moment (μB).
Sites, in units of the cell vectors:
Ir 0.000 0.500 0.000  0.37
Ir 0.000 0.000 0.500  0.47
Ir 0.500 0.000 0.000  0.28
Rh 0.000 0.000 0.000  0.07
O 0.500 0.500 0.500  -0.08

## Properties
The space group is Pm-3m, No. 221.



The calculated energies rank the structures as follows, beginning with the most stable: run a, run b.



Run a
The following is a DFT calculation (GGA-PBE) of an optimized crystal structure of Ir3RuO.

Unit cell a=4.109 b=4.109 c=4.109 alpha=90.00 beta=90.00 gamma=90.00
Sites, in units of the cell vectors:
Ru 0.500 0.500 0.500
Ir 0.000 0.500 0.000
Ir 0.000 0.000 0.500
Ir 0.500 0.000 0.000
O 0.000 0.000 0.000

## Properties
The space group is Pm-3m, No. 221.



Run b
The following is a DFT calculation (GGA-PBE) of an optimized crystal structure of Ir3RuO.

Unit cell a=4.698 b=4.698 c=4.698 alpha=90.00 beta=90.00 gamma=90.00
Each line ends with the local moment (μB).
Sites, in units of the cell vectors:
Ru 0.000 0.000 0.000  -0.01
Ir 0.000 0.500 0.000  0.42
Ir 0.000 0.000 0.500  0.43
Ir 0.500 0.000 0.000  0.27
O 0.500 0.500 0.500  1.23

## Properties
The space group is Pm-3m, No. 221.



The calculated energies rank the structures as follows, beginning with the most stable: run a, run b.



Run a
The following is a DFT calculation (GGA-PBE) of an optimized crystal structure of IrRuO2.

Unit cell a=4.838 b=4.838 c=5.638 alpha=64.59 beta=64.59 gamma=90.00
Sites, in units of the cell vectors:
Ru 0.500 0.500 0.000
Ru 0.250 0.750 0.500
Ir 0.000 0.000 0.000
Ir 0.750 0.250 0.500
O 0.610 0.125 0.250
O 0.140 0.625 0.250
O 0.375 0.390 0.750
O 0.875 0.860 0.750

## Properties
The space group is I-42d, No. 122.



Run b
The following is a DFT calculation (GGA-PBE) of an optimized crystal structure of IrRuO2.

Unit cell a=6.793 b=6.793 c=6.793 alpha=23.64 beta=23.64 gamma=23.64
Sites, in units of the cell vectors:
Ru 0.500 0.500 0.500
Ir 0.000 0.000 0.000
O 0.900 0.900 0.900
O 0.100 0.100 0.100

## Properties
The space group is R-3m, No. 166.



Run c
The following is a DFT calculation (GGA-PBE) of an optimized crystal structure of IrRuO2.

Unit cell a=3.938 b=3.938 c=3.938 alpha=60.00 beta=60.00 gamma=60.00
Each line ends with the local moment (μB).
Sites, in units of the cell vectors:
Ru 0.000 0.000 0.000  0.22
Ir 0.500 0.500 0.500  0.00
O 0.250 0.250 0.250  0.01
O 0.750 0.750 0.750  0.01

## Properties
The space group is Fm-3m, No. 225.



The calculated energies rank the structures as follows, beginning with the most stable: run b, run a, run c.